Entry 1:
PBE-GGA Sr2TaAs, optimized geometry; final energy = -19.7 eV for the cell shown
1.0
-3.4237 2.3381 -0.9201
-1.3397 -0.1237 4.6709
2.5112 5.0082 3.3825
Sr As Ta
2 1 1
Direct
0.0000 0.9805 0.9141
0.5000 0.2738 0.3274
0.5000 0.5642 0.7466
0.0000 0.6816 0.5119

Entry 2:
PBE-GGA Sr2TaAs, optimized geometry; final energy = -17.8 eV for the cell shown
1.0
6.1639 -0.0103 0.0000
2.6783 5.5516 0.0000
-4.4211 -2.7707 3.2820
Sr As Ta
2 1 1
Direct
0.0000 0.0000 0.0000
0.2500 0.7500 0.5000
0.7500 0.2500 0.5000
0.5000 0.5000 0.0000

Per-record M_tot, μB per formula unit: 1.55; 2.13